Computed, not measured: BaMnPbF6 after structural relaxation at the PBE with a Hubbard U level of DFT.

Calculated values
As for the total energy: -5.254 eV/atom. The total magnetic moment comes out at 2.682 μB/f.u. The density of states at the Fermi level comes out at 0.38 states/eV/atom.

Geometry as CIF:
```
data_BaMnPbF6
_chemical_formula_sum 'Ba2 Mn2 Pb2 F12'
_cell_length_a 6.7397
_cell_length_b 6.7397
_cell_length_c 7.0937
_cell_angle_alpha 90.00
_cell_angle_beta 90.00
_cell_angle_gamma 120.00
_space_group_name_H-M_alt 'P -3 1 c'
_space_group_IT_number 163
_space_group_name_Hall '-P 3 2c'
loop_
_atom_site_label
_atom_site_type_symbol
_atom_site_fract_x
_atom_site_fract_y
_atom_site_fract_z
_atom_site_occupancy
Ba1 Ba 0.3333 0.6667 0.2500 1
Mn1 Mn 0.3333 0.6667 0.7500 1
Pb1 Pb 0.0000 0.0000 0.0000 1
F1 F 0.0967 0.4112 0.5989 1
```